Computed, not measured: a geometry-optimized Hg6AsI2 structure at the PBE-GGA level of DFT.

a b c (Å): 7.2280 7.2280 7.2280
angles (deg): 60.00 60.00 60.00
With the nearest neighbours (Å) after each atom.
Element x y z (fractional)
Hg: 0.2251 0.2251 0.7749  1 As 2.81
Hg: 0.2251 0.7749 0.2251  1 As 2.81
Hg: 0.2251 0.7749 0.7749  1 As 2.81
Hg: 0.7749 0.2251 0.2251  1 As 2.81
Hg: 0.7749 0.2251 0.7749  1 As 2.81
Hg: 0.7749 0.7749 0.2251  1 As 2.81
As: 0.5000 0.5000 0.5000  6 Hg 2.81
I: 0.2500 0.2500 0.2500  12 Hg 3.62
I: 0.7500 0.7500 0.7500  12 Hg 3.62

* D(E_F): 3.48 states/eV per cell

Computed, not measured: a geometry-optimized Hg2As2I structure at the PBE-GGA level of DFT.

a b c (Å): 6.0624 6.0624 6.0624
angles (deg): 127.76 127.76 77.01
With the nearest neighbours (Å) after each atom.
Element x y z (fractional)
Hg: 0.2500 0.7500 0.5000  4 As 2.91
Hg: 0.7500 0.2500 0.5000  4 As 2.91
As: 0.1273 0.1273 0.0000  1 As 2.42
As: 0.8727 0.8727 0.0000  1 As 2.42
I: 0.5000 0.5000 0.0000  2 As 3.54, 8 Hg 3.57

* D(E_F): 4.00 states/eV per cell
* ΔE to the lowest computed polymorph: 0 meV/atom

Computed, not measured: a geometry-optimized HgAs2I structure at the PBE-GGA level of DFT.

a b c (Å): 5.1572 5.1572 5.1572
angles (deg): 60.00 60.00 60.00
With the nearest neighbours (Å) after each atom.
Element x y z (fractional)
Hg: 0.0000 0.0000 0.0000  8 As 3.16
As: 0.2500 0.2500 0.2500  4 Hg 3.16, 4 I 3.16
As: 0.7500 0.7500 0.7500  4 I 3.16, 4 Hg 3.16
I: 0.5000 0.5000 0.5000  8 As 3.16

* D(E_F): 2.74 states/eV per cell
* ΔE to the lowest computed polymorph: 77 meV/atom

Computed, not measured: a geometry-optimized HgAs2I6 structure at the PBE-GGA level of DFT.

a b c (Å): 12.8769 12.8769 5.9413
angles (deg): 97.40 97.40 101.70
With the nearest neighbours (Å) after each atom.
Element x y z (fractional)
Hg: 0.0379 0.9621 0.7500  2 Hg 3.33, 2 I 3.40
Hg: 0.9621 0.0379 0.2500  2 Hg 3.33, 2 I 3.40
As: 0.2499 0.4723 0.3361  3 I 2.57-2.67
As: 0.4723 0.2499 0.8361  3 I 2.57-2.67
As: 0.5277 0.7501 0.1639  3 I 2.57-2.67
As: 0.7501 0.5277 0.6639  3 I 2.57-2.67
I: 0.1077 0.2896 0.2481  1 As 2.62
I: 0.1298 0.6094 0.3413  1 As 2.57
I: 0.2896 0.1077 0.7481  1 As 2.62
I: 0.3189 0.4824 0.9336  1 As 2.67
I: 0.3906 0.8702 0.1587  1 As 2.57
I: 0.4824 0.3189 0.4336  1 As 2.67
I: 0.5176 0.6811 0.5664  1 As 2.67
I: 0.6094 0.1298 0.8413  1 As 2.57
I: 0.6811 0.5176 0.0664  1 As 2.67
I: 0.7104 0.8923 0.2519  1 As 2.62
I: 0.8702 0.3906 0.6587  1 As 2.57
I: 0.8923 0.7104 0.7519  1 As 2.62

* ΔE to the lowest computed polymorph: 40 meV/atom

Across the entries above, ρ takes the values 9.53 8.33 8.17 3.91 g/cm3, respectively.
Across the entries above, total magnetization takes the values 0.000 0.000 0.000 0.000 Bohr magnetons per cell, respectively.
Across the entries above, E_form (uncorrected) takes the values 0.006 0.187 0.650 -0.122 eV/atom, respectively.